No. 1
# PBE Pm2GdSc, relaxed
data_Pm2GdSc
_space_group_name_H-M_alt 'P 1'
_space_group_IT_number 1
_cell_length_a 5.619
_cell_length_b 5.619
_cell_length_c 5.619
_cell_angle_alpha 60.00
_cell_angle_beta 60.00
_cell_angle_gamma 60.00
loop_
_space_group_symop_operation_xyz
'x,y,z'
loop_
_atom_site_label
_atom_site_type_symbol
_atom_site_fract_x
_atom_site_fract_y
_atom_site_fract_z
Gd1 Gd 0.000 0.000 0.000
Pm1 Pm 0.250 0.250 0.250
Pm2 Pm 0.750 0.750 0.750
Sc1 Sc 0.500 0.500 0.500
# Total magnetic moment in μB per formula unit: 7.61
# DFT formation energy in eV per atom: 0.11
# Excess energy over the best structure of this formula in the dataset in meV/atom: 76
# Crystal system: cubic
# Electronic total energy in eV/f.u.: -29.46

---

No. 2
# PBE PmEuAgSn, relaxed
data_PmEuAgSn
_space_group_name_H-M_alt 'P 1'
_space_group_IT_number 1
_cell_length_a 5.419
_cell_length_b 5.419
_cell_length_c 5.419
_cell_angle_alpha 60.00
_cell_angle_beta 60.00
_cell_angle_gamma 60.00
loop_
_space_group_symop_operation_xyz
'x,y,z'
loop_
_atom_site_label
_atom_site_type_symbol
_atom_site_fract_x
_atom_site_fract_y
_atom_site_fract_z
Pm1 Pm 0.500 0.500 0.500
Eu1 Eu 0.000 0.000 0.000
Ag1 Ag 0.250 0.250 0.250
Sn1 Sn 0.750 0.750 0.750
# Total magnetic moment in μB per formula unit: 7.29
# DFT formation energy in eV per atom: -0.53
# Crystal system: cubic
# Electronic total energy in eV/f.u.: -24.01

---

No. 3
# PBE MnTcHPd2, relaxed
data_MnTcHPd2
_space_group_name_H-M_alt 'P 1'
_space_group_IT_number 1
_cell_length_a 3.872
_cell_length_b 3.872
_cell_length_c 4.074
_cell_angle_alpha 90.00
_cell_angle_beta 90.00
_cell_angle_gamma 90.00
loop_
_space_group_symop_operation_xyz
'x,y,z'
loop_
_atom_site_label
_atom_site_type_symbol
_atom_site_fract_x
_atom_site_fract_y
_atom_site_fract_z
Tc1 Tc 0.500 0.500 0.500
Pd1 Pd 0.500 0.000 0.000
H1 H 0.000 0.000 0.000
Mn1 Mn 0.000 0.000 0.500
Pd2 Pd 0.000 0.500 0.000
# Total magnetic moment in μB per formula unit: 1.58
# Crystal system: tetragonal
# Electronic total energy in eV/f.u.: -32.45